Entry 1:
A plane-wave DFT calculation with PBE was carried out for an optimized crystal structure of K2NaPbBr6.

Computed properties:
raw formation energy	-1.25	eV/atom
energy	-2.973	eV/atom

CIF file:
```
data_K2NaPbBr6
_cell_length_a 7.770
_cell_length_b 8.186
_cell_length_c 13.485
_cell_angle_alpha 90.00
_cell_angle_beta 124.44
_cell_angle_gamma 90.00
_symmetry_space_group_name_H-M 'P 1'
_symmetry_Int_Tables_number 1
_symmetry_space_group_name_Hall 'P 1'
loop_
_atom_site_label
_atom_site_fract_x
_atom_site_fract_y
_atom_site_fract_z
K1 0.217 0.082 0.247
K2 0.217 0.418 0.747
K3 0.783 0.582 0.253
K4 0.783 0.918 0.753
Na1 0.000 0.000 0.500
Na2 0.000 0.500 0.000
Pb1 0.500 0.000 0.000
Pb2 0.500 0.500 0.500
Br1 0.141 0.193 0.943
Br2 0.141 0.307 0.443
Br3 0.256 0.701 0.942
Br4 0.256 0.799 0.442
Br5 0.370 0.034 0.752
Br6 0.370 0.466 0.252
Br7 0.630 0.534 0.748
Br8 0.630 0.966 0.248
Br9 0.744 0.201 0.558
Br10 0.744 0.299 0.058
Br11 0.859 0.693 0.557
Br12 0.859 0.807 0.057
```



Entry 2:
A plane-wave DFT calculation with PBE was carried out for an optimized crystal structure of ScGaCuCl.

Computed properties:
offset from the most stable computed form	200.9	meV per atom
raw formation energy	-0.45	eV/atom
energy	-4.280	eV/atom

CIF file:
```
data_ScGaCuCl
_cell_length_a 3.189
_cell_length_b 4.721
_cell_length_c 5.556
_cell_angle_alpha 108.32
_cell_angle_beta 93.03
_cell_angle_gamma 106.43
_symmetry_space_group_name_H-M 'P 1'
_symmetry_Int_Tables_number 1
_symmetry_space_group_name_Hall 'P 1'
loop_
_atom_site_label
_atom_site_fract_x
_atom_site_fract_y
_atom_site_fract_z
Sc1 0.000 0.000 0.000
Ga1 0.305 0.650 0.487
Cu1 0.618 0.168 0.436
Cl1 0.679 0.405 0.917
```



Entry 3:
A plane-wave DFT calculation with PBE was carried out for an optimized crystal structure of MgTe2PN.

Computed properties:
offset from the most stable computed form	0.0	meV per atom
raw formation energy	0.29	eV/atom
energy	-4.034	eV/atom

CIF file:
```
data_MgTe2PN
_cell_length_a 5.625
_cell_length_b 5.625
_cell_length_c 3.336
_cell_angle_alpha 90.00
_cell_angle_beta 90.00
_cell_angle_gamma 90.00
_symmetry_space_group_name_H-M 'P 1'
_symmetry_Int_Tables_number 1
_symmetry_space_group_name_Hall 'P 1'
loop_
_atom_site_label
_atom_site_fract_x
_atom_site_fract_y
_atom_site_fract_z
Mg1 0.000 0.000 0.000
Te1 0.000 0.500 0.500
Te2 0.500 0.000 0.500
P1 0.500 0.500 0.500
N1 0.500 0.500 0.000
```



Entry 4:
A plane-wave DFT calculation with PBE was carried out for an optimized crystal structure of CoCu2Sb.

Computed properties:
raw formation energy	0.27	eV/atom
energy	-4.582	eV/atom

CIF file:
```
data_CoCu2Sb
_cell_length_a 2.990
_cell_length_b 4.648
_cell_length_c 4.240
_cell_angle_alpha 90.00
_cell_angle_beta 90.04
_cell_angle_gamma 90.00
_symmetry_space_group_name_H-M 'P 1'
_symmetry_Int_Tables_number 1
_symmetry_space_group_name_Hall 'P 1'
loop_
_atom_site_label
_atom_site_fract_x
_atom_site_fract_y
_atom_site_fract_z
Co1 0.000 0.000 0.000
Cu1 0.253 0.500 0.765
Cu2 0.747 0.500 0.235
Sb1 0.500 0.000 0.500
```



Entry 5:
A plane-wave DFT calculation with PBE was carried out for an optimized crystal structure of U2PaTlS8.

Computed properties:
raw formation energy	-1.11	eV/atom
energy	-6.735	eV/atom

CIF file:
```
data_U2PaTlS8
_cell_length_a 6.196
_cell_length_b 8.305
_cell_length_c 6.436
_cell_angle_alpha 90.00
_cell_angle_beta 91.13
_cell_angle_gamma 90.00
_symmetry_space_group_name_H-M 'P 1'
_symmetry_Int_Tables_number 1
_symmetry_space_group_name_Hall 'P 1'
loop_
_atom_site_label
_atom_site_fract_x
_atom_site_fract_y
_atom_site_fract_z
U1 0.000 0.249 0.000
U2 0.000 0.751 0.000
Pa1 0.500 0.500 0.500
Tl1 0.500 0.000 0.500
S1 0.208 0.000 0.863
S2 0.219 0.500 0.831
S3 0.260 0.279 0.324
S4 0.260 0.721 0.324
S5 0.740 0.279 0.676
S6 0.740 0.721 0.676
S7 0.781 0.500 0.169
S8 0.792 0.000 0.137
```



Entry 6:
A plane-wave DFT calculation with PBE was carried out for an optimized crystal structure of NpSn2Sb2.

Computed properties:
raw formation energy	-0.10	eV/atom
energy	-5.941	eV/atom

CIF file:
```
data_NpSn2Sb2
_cell_length_a 13.772
_cell_length_b 13.772
_cell_length_c 4.408
_cell_angle_alpha 90.00
_cell_angle_beta 90.00
_cell_angle_gamma 161.37
_symmetry_space_group_name_H-M 'P 1'
_symmetry_Int_Tables_number 1
_symmetry_space_group_name_Hall 'P 1'
loop_
_atom_site_label
_atom_site_fract_x
_atom_site_fract_y
_atom_site_fract_z
Np1 0.160 0.840 0.750
Np2 0.840 0.160 0.250
Sn1 0.056 0.944 0.250
Sn2 0.449 0.551 0.250
Sn3 0.551 0.449 0.750
Sn4 0.944 0.056 0.750
Sb1 0.250 0.750 0.250
Sb2 0.355 0.645 0.750
Sb3 0.645 0.355 0.250
Sb4 0.750 0.250 0.750
```



Entry 7:
A plane-wave DFT calculation with PBE was carried out for an optimized crystal structure of Al2ZnGa8.

Computed properties:
offset from the most stable computed form	0.0	meV per atom
energy	-2.950	eV/atom
E_form	48	meV/atom

CIF file:
```
data_Al2ZnGa8
_cell_length_a 8.702
_cell_length_b 8.702
_cell_length_c 6.344
_cell_angle_alpha 110.36
_cell_angle_beta 110.36
_cell_angle_gamma 27.15
_symmetry_space_group_name_H-M 'P 1'
_symmetry_Int_Tables_number 1
_symmetry_space_group_name_Hall 'P 1'
loop_
_atom_site_label
_atom_site_fract_x
_atom_site_fract_y
_atom_site_fract_z
Al1 0.190 0.190 0.128
Al2 0.810 0.810 0.872
Zn1 0.500 0.500 0.500
Ga1 0.021 0.021 0.807
Ga2 0.203 0.203 0.587
Ga3 0.354 0.354 0.188
Ga4 0.395 0.395 0.745
Ga5 0.605 0.605 0.255
Ga6 0.646 0.646 0.812
Ga7 0.797 0.797 0.413
Ga8 0.979 0.979 0.193
```



Entry 8:
A plane-wave DFT calculation with PBE was carried out for an optimized crystal structure of Cs2LaCd4.

Computed properties:
energy	-1.285	eV/atom
E_form	185	meV/atom

CIF file:
```
data_Cs2LaCd4
_cell_length_a 10.837
_cell_length_b 10.837
_cell_length_c 10.837
_cell_angle_alpha 146.34
_cell_angle_beta 146.34
_cell_angle_gamma 48.34
_symmetry_space_group_name_H-M 'P 1'
_symmetry_Int_Tables_number 1
_symmetry_space_group_name_Hall 'P 1'
loop_
_atom_site_label
_atom_site_fract_x
_atom_site_fract_y
_atom_site_fract_z
Cs1 0.131 0.131 0.000
Cs2 0.869 0.869 0.000
La1 0.500 0.500 0.000
Cd1 0.000 0.500 0.500
Cd2 0.338 0.338 0.000
Cd3 0.500 0.000 0.500
Cd4 0.662 0.662 0.000
```



Entry 9:
A plane-wave DFT calculation with PBE was carried out for an optimized crystal structure of In4Os5.

Computed properties:
energy	-6.633	eV/atom
E_form	823	meV/atom

CIF file:
```
data_In4Os5
_cell_length_a 8.069
_cell_length_b 8.069
_cell_length_c 5.454
_cell_angle_alpha 90.00
_cell_angle_beta 90.00
_cell_angle_gamma 120.00
_symmetry_space_group_name_H-M 'P 1'
_symmetry_Int_Tables_number 1
_symmetry_space_group_name_Hall 'P 1'
loop_
_atom_site_label
_atom_site_fract_x
_atom_site_fract_y
_atom_site_fract_z
In1 0.000 0.000 0.000
In2 0.000 0.000 0.500
In3 0.000 0.361 0.250
In4 0.000 0.639 0.750
In5 0.361 0.000 0.250
In6 0.361 0.361 0.750
In7 0.639 0.000 0.750
In8 0.639 0.639 0.250
Os1 0.000 0.311 0.750
Os2 0.000 0.689 0.250
Os3 0.311 0.000 0.750
Os4 0.311 0.311 0.250
Os5 0.333 0.667 0.000
Os6 0.333 0.667 0.500
Os7 0.667 0.333 0.000
Os8 0.667 0.333 0.500
Os9 0.689 0.000 0.250
Os10 0.689 0.689 0.750
```



Entry 10:
A plane-wave DFT calculation with PBE was carried out for an optimized crystal structure of Ta2MnAg2Te6.

Computed properties:
raw formation energy	-0.14	eV/atom
energy	-5.357	eV/atom

CIF file:
```
data_Ta2MnAg2Te6
_cell_length_a 6.863
_cell_length_b 6.863
_cell_length_c 7.659
_cell_angle_alpha 96.86
_cell_angle_beta 96.86
_cell_angle_gamma 120.70
_symmetry_space_group_name_H-M 'P 1'
_symmetry_Int_Tables_number 1
_symmetry_space_group_name_Hall 'P 1'
loop_
_atom_site_label
_atom_site_fract_x
_atom_site_fract_y
_atom_site_fract_z
Ta1 0.121 0.879 0.000
Ta2 0.879 0.121 0.000
Mn1 0.500 0.500 0.000
Ag1 0.125 0.875 0.500
Ag2 0.875 0.125 0.500
Te1 0.118 0.470 0.807
Te2 0.247 0.247 0.274
Te3 0.470 0.118 0.807
Te4 0.530 0.882 0.193
Te5 0.753 0.753 0.726
Te6 0.882 0.530 0.193
```



Entry 11:
A plane-wave DFT calculation with PBE was carried out for an optimized crystal structure of CaPrPb.

Computed properties:
energy	-3.796	eV/atom
E_form	-299	meV/atom

CIF file:
```
data_CaPrPb
_cell_length_a 5.410
_cell_length_b 5.410
_cell_length_c 3.900
_cell_angle_alpha 90.00
_cell_angle_beta 90.00
_cell_angle_gamma 120.00
_symmetry_space_group_name_H-M 'P 1'
_symmetry_Int_Tables_number 1
_symmetry_space_group_name_Hall 'P 1'
loop_
_atom_site_label
_atom_site_fract_x
_atom_site_fract_y
_atom_site_fract_z
Ca1 0.000 0.000 0.000
Pr1 0.333 0.667 0.460
Pb1 0.667 0.333 0.805
```



Entry 12:
A plane-wave DFT calculation with PBE was carried out for an optimized crystal structure of La6Sm8Dy.

Computed properties:
energy	-4.690	eV/atom
E_form	105	meV/atom

CIF file:
```
data_La6Sm8Dy
_cell_length_a 8.890
_cell_length_b 8.890
_cell_length_c 8.890
_cell_angle_alpha 63.04
_cell_angle_beta 63.04
_cell_angle_gamma 63.04
_symmetry_space_group_name_H-M 'P 1'
_symmetry_Int_Tables_number 1
_symmetry_space_group_name_Hall 'P 1'
loop_
_atom_site_label
_atom_site_fract_x
_atom_site_fract_y
_atom_site_fract_z
La1 0.036 0.595 0.736
La2 0.264 0.964 0.405
La3 0.405 0.264 0.964
La4 0.595 0.736 0.036
La5 0.736 0.036 0.595
La6 0.964 0.405 0.264
Sm1 0.077 0.077 0.077
Sm2 0.210 0.614 0.259
Sm3 0.259 0.210 0.614
Sm4 0.386 0.741 0.790
Sm5 0.614 0.259 0.210
Sm6 0.741 0.790 0.386
Sm7 0.790 0.386 0.741
Sm8 0.923 0.923 0.923
Dy1 0.500 0.500 0.500
```



Q: What is the energy in the fifth record?
A: -6.735 eV/atom